Density functional theory data (PBE-GGA) for a relaxed structure of ZrTlOsRh2.

Calculated volume: 22.9 Å³ per atom
Energy relative to the elements: 788 meV per atom

a b c (Å): 4.806 4.806 4.962
angles (deg): 90.00 90.00 90.00
Space group P4/mmm (No. 123)
Asymmetric unit:
1 Zr 0.000 0.000 0.000 x1
2 Tl 0.500 0.500 0.000 x1
3 Os 0.000 0.000 0.500 x1
4 Rh 0.000 0.500 0.500 x2